No. 1
# NaAu3

An optimized crystal structure of NaAu3 (GGA-PBEsol, the Alexandria database).

a = 5.6749 Å, b = 5.6749 Å, c = 4.9455 Å
α = 90.00°, β = 90.00°, γ = 120.00°
Space group P6_3/mmc (No. 194)
One atom of each set of equivalent atoms:
Na  0.3333  0.6667  0.2500 [2 per cell]
Au  0.1663  0.3326  0.7500 [6 per cell]

Calculated values
Electronic total energy ... -13.78 eV per formula unit
Crystal system ... hexagonal

No. 2
# HgMoW2

An optimized crystal structure of HgMoW2 (GGA-PBEsol, the Alexandria database).

a = 2.8177 Å, b = 2.8177 Å, c = 29.0581 Å
α = 90.00°, β = 90.00°, γ = 120.00°
Space group R-3m (No. 166, hexagonal axes)
One atom of each set of equivalent atoms:
Hg  0.0000  0.0000  0.0000 [3 per cell]
Mo  0.0000  0.0000  0.5000 [3 per cell]
W  0.0000  0.0000  0.2465 [6 per cell]

Calculated values
Electronic total energy ... -37.54 eV per formula unit
Crystal system ... trigonal